No. 1
Here is a relaxed Hf3ScGa crystal from the Alexandria database. Energies are from PBEsol.

Its formation energy is 6.42 eV per formula unit. Its space group is Pm-3m, No. 221. The density of states at the Fermi level comes out at 6.76 states/eV per cell.

Cell lengths 4.870, 4.870, 4.870 Å; angles 90.00, 90.00, 90.00 degrees
Element x y z (fractional)
Hf  0.000  0.000  0.500
Hf  0.000  0.500  0.000
Hf  0.500  0.000  0.000
Sc  0.000  0.000  0.000
Ga  0.500  0.500  0.500


No. 2
Here is a relaxed YZrAl2 crystal from the Alexandria database. Energies are from PBEsol.

Its formation energy is -1.47 eV per formula unit. Its space group is Amm2, No. 38. The value obtained for the energy above the most stable polymorph in this dataset is 0.034 eV per atom. The density of states at the Fermi level comes out at 4.88 states/eV per cell.

Cell lengths 4.363, 5.898, 5.898 Å; angles 33.93, 90.00, 90.00 degrees
Element x y z (fractional)
Y  0.000  0.000  0.000
Zr  0.500  0.319  0.319
Al  0.000  0.734  0.734
Al  0.500  0.598  0.598


No. 3
Here is a relaxed RbFe3Ru crystal from the Alexandria database. Energies are from PBEsol.

Its formation energy is 7.24 eV per formula unit. Its space group is Pm-3m, No. 221. The density of states at the Fermi level comes out at 7.25 states/eV per cell.

Cell lengths 4.723, 4.723, 4.723 Å; angles 90.00, 90.00, 90.00 degrees
Element x y z (fractional)
Rb  0.000  0.000  0.000
Fe  0.000  0.500  0.500
Fe  0.500  0.000  0.500
Fe  0.500  0.500  0.000
Ru  0.500  0.500  0.500


No. 4
Here is a relaxed Pb3SeI crystal from the Alexandria database. Energies are from PBEsol.

The uncorrected formation energy is 0.20 eV/atom. Its space group is Pm-3m, No. 221. The density of states at the Fermi level comes out at 8.11 states/eV per cell.

Cell lengths 5.700, 5.700, 5.700 Å; angles 90.00, 90.00, 90.00 degrees
Element x y z (fractional)
Pb  0.000  0.000  0.500
Pb  0.000  0.500  0.000
Pb  0.500  0.000  0.000
Se  0.000  0.000  0.000
I  0.500  0.500  0.500


No. 5
Here is a relaxed TaMnNbNi2 crystal from the Alexandria database. Energies are from PBEsol.

Its formation energy is 4.91 eV per formula unit. Its space group is P4/mmm, No. 123. The density of states at the Fermi level comes out at 5.65 states/eV per cell.

Cell lengths 4.208, 4.208, 4.382 Å; angles 90.00, 90.00, 90.00 degrees
Element x y z (fractional)
Ta  0.000  0.000  0.000
Mn  0.500  0.500  0.500
Nb  0.500  0.500  0.000
Ni  0.000  0.500  0.500
Ni  0.500  0.000  0.500


No. 6
Here is a relaxed BaHgTe2 crystal from the Alexandria database. Energies are from PBEsol.

The uncorrected formation energy is -0.76 eV/atom. Its space group is Cmmm, No. 65. The density of states at the Fermi level comes out at 2.32 states/eV per cell.

Cell lengths 5.320, 5.320, 4.595 Å; angles 90.00, 90.00, 102.99 degrees
Element x y z (fractional)
Ba  0.000  0.000  0.000
Hg  0.500  0.500  0.000
Te  0.000  0.500  0.500
Te  0.500  0.000  0.500


No. 7
Here is a relaxed CuRh2 crystal from the Alexandria database. Energies are from PBEsol.

Its formation energy is 0.24 eV per formula unit. Its space group is Immm, No. 71. The value obtained for the energy above the most stable polymorph in this dataset is 0.024 eV per atom. The density of states at the Fermi level comes out at 4.42 states/eV per cell.

Cell lengths 4.531, 4.531, 4.531 Å; angles 145.63, 131.98, 60.38 degrees
Element x y z (fractional)
Cu  0.000  0.000  0.000
Rh  0.333  0.333  0.000
Rh  0.667  0.667  0.000


No. 8
Here is a relaxed TlCoTe2 crystal from the Alexandria database. Energies are from PBEsol.

The uncorrected formation energy is 0.45 eV/atom. Its space group is R-3m, No. 166. The density of states at the Fermi level comes out at 4.15 states/eV per cell.

Cell lengths 11.049, 11.049, 11.049 Å; angles 16.95, 16.95, 16.95 degrees
Element x y z (fractional)
Tl  0.000  0.000  0.000
Co  0.500  0.500  0.500
Te  0.426  0.426  0.426
Te  0.574  0.574  0.574


No. 9
Here is a relaxed SiTe3Os crystal from the Alexandria database. Energies are from PBEsol.

The uncorrected formation energy is 0.99 eV/atom. Its space group is Pm-3m, No. 221. The density of states at the Fermi level comes out at 6.33 states/eV per cell.

Cell lengths 5.144, 5.144, 5.144 Å; angles 90.00, 90.00, 90.00 degrees
Element x y z (fractional)
Si  0.000  0.000  0.000
Te  0.000  0.500  0.500
Te  0.500  0.000  0.500
Te  0.500  0.500  0.000
Os  0.500  0.500  0.500


No. 10
Here is a relaxed BaBeSeN2 crystal from the Alexandria database. Energies are from PBEsol.

The uncorrected formation energy is 0.51 eV/atom. Its space group is P4/mmm, No. 123. The density of states at the Fermi level comes out at 4.24 states/eV per cell.

Cell lengths 4.264, 4.264, 4.456 Å; angles 90.00, 90.00, 90.00 degrees
Element x y z (fractional)
Ba  0.000  0.000  0.000
Be  0.500  0.500  0.500
Se  0.500  0.500  0.000
N  0.000  0.500  0.500
N  0.500  0.000  0.500


No. 11
Here is a relaxed FeTe4Cl crystal from the Alexandria database. Energies are from PBEsol.

The uncorrected formation energy is 0.65 eV/atom. Its space group is F-43m, No. 216. The density of states at the Fermi level comes out at 7.74 states/eV per cell.

Cell lengths 6.133, 6.133, 6.133 Å; angles 60.00, 60.00, 60.00 degrees
Element x y z (fractional)
Fe  0.000  0.000  0.000
Te  0.125  0.625  0.625
Te  0.625  0.125  0.625
Te  0.625  0.625  0.125
Te  0.625  0.625  0.625
Cl  0.250  0.250  0.250


No. 12
Here is a relaxed KTa2Se crystal from the Alexandria database. Energies are from PBEsol.

The uncorrected formation energy is 1.03 eV/atom. Its space group is F-43m, No. 216. The density of states at the Fermi level comes out at 4.08 states/eV per cell.

Cell lengths 4.815, 4.815, 4.815 Å; angles 60.00, 60.00, 60.00 degrees
Element x y z (fractional)
K  0.000  0.000  0.000
Ta  0.250  0.250  0.250
Ta  0.500  0.500  0.500
Se  0.750  0.750  0.750